# PBE Pt2RhN, relaxed
data_Pt2RhN
_cell_length_a 4.8719
_cell_length_b 4.8719
_cell_length_c 11.5085
_cell_angle_alpha 90.00
_cell_angle_beta 90.00
_cell_angle_gamma 90.00
_space_group_name_H-M_alt 'I -4 2 d'
_space_group_IT_number 122
_space_group_name_Hall 'I -4 2bw'
loop_
_atom_site_label
_atom_site_fract_x
_atom_site_fract_y
_atom_site_fract_z
Pt1 0.1390 0.2500 0.1250
Rh1 0.0000 0.0000 0.5000
N1 0.0000 0.0000 0.0000
# E_tot   -97.005 eV/cell
# Uncorrected formation energy   3.5 eV/f.u.
# Density of states at the Fermi level   0.761 states/eV per atom

=====

# PBE PtRhN2, relaxed
data_PtRhN2
_cell_length_a 5.5444
_cell_length_b 5.5444
_cell_length_c 5.5444
_cell_angle_alpha 90.00
_cell_angle_beta 90.00
_cell_angle_gamma 90.00
_space_group_name_H-M_alt 'F m -3 m'
_space_group_IT_number 225
_space_group_name_Hall '-F 4 2 3'
loop_
_atom_site_label
_atom_site_fract_x
_atom_site_fract_y
_atom_site_fract_z
Pt1 0.0000 0.0000 0.0000
Rh1 0.0000 0.0000 0.5000
N1 0.2500 0.2500 0.2500
# E_tot   -94.858 eV/cell
# Uncorrected formation energy   6.3 eV/f.u.
# Density of states at the Fermi level   1.313 states/eV per atom
# Excess energy over the best structure of this formula in the dataset   0.9964 eV per atom